Here is crystalline PrMg4Tl at its relaxed geometry from Alexandria. Energies are from GGA-PBE.

a b c (Å): 6.0885 6.0885 6.0885
angles (deg): 60.00 60.00 60.00
Closest atoms and distances in Å follow each position.
Sites, in units of the cell vectors:
Pr  0.2500  0.2500  0.2500  12 Mg 3.57, 4 Tl 3.73
Tl  0.0000  0.0000  0.0000  12 Mg 3.57, 4 Pr 3.73
Mg  0.6249  0.6249  0.1254  6 Mg 3.04-3.05
Mg  0.6249  0.1254  0.6249  6 Mg 3.04-3.05
Mg  0.6249  0.6249  0.6249  6 Mg 3.04-3.05
Mg  0.1254  0.6249  0.6249  6 Mg 3.04-3.05

Results
As for the symmetry: No. 216. The calculation puts the mass density at 4604 kg/m³. The formation energy is -0.018 eV/atom.

Here is crystalline Fe2PbCl at its relaxed geometry from Alexandria. Energies are from GGA-PBE.

a b c (Å): 6.2149 6.2149 6.2149
angles (deg): 150.27 135.13 54.75
Closest atoms and distances in Å follow each position.
Sites, in units of the cell vectors:
Pb  0.4686  0.4686  0.0000  6 Fe 2.75-2.88
Fe  0.0021  0.0021  0.0000  2 Fe 2.37, 2 Cl 2.58
Fe  0.8430  0.3430  0.5000  2 Fe 2.37
Cl  0.1864  0.6864  0.5000  2 Fe 2.58

Results
As for the symmetry: No. 44. The relative energy among the computed polymorphs is 296 meV per atom. The formation energy without anion corrections is 0.360 eV per atom. The calculation puts the mass density at 7048 kg/m³.

Here is crystalline VHgH at its relaxed geometry from Alexandria. Energies are from GGA-PBE.

a b c (Å): 5.6459 3.0704 9.3578
angles (deg): 90.00 90.00 90.00
Closest atoms and distances in Å follow each position.
Sites, in units of the cell vectors:
H  0.8592  0.2500  0.4242  3 V 1.76-1.82
H  0.6408  0.7500  0.9242  3 V 1.76-1.82
H  0.1408  0.7500  0.5758  3 V 1.76-1.82
H  0.3592  0.2500  0.0758  3 V 1.76-1.82
Hg  0.0080  0.2500  0.7970  4 H 2.68-2.84, 3 V 2.92-2.93, 2 Hg 2.96
Hg  0.4920  0.7500  0.2970  4 H 2.68-2.84, 3 V 2.92-2.93, 2 Hg 2.96
Hg  0.9920  0.7500  0.2030  4 H 2.68-2.84, 3 V 2.92-2.93, 2 Hg 2.96
Hg  0.5080  0.2500  0.7030  4 H 2.68-2.84, 3 V 2.92-2.93, 2 Hg 2.96
V  0.1598  0.2500  0.4727  3 H 1.76-1.82
V  0.3402  0.7500  0.9727  3 H 1.76-1.82
V  0.8402  0.7500  0.5273  3 H 1.76-1.82
V  0.6598  0.2500  0.0273  3 H 1.76-1.82

Results
As for the symmetry: No. 62. The relative energy among the computed polymorphs is 165 meV per atom. The calculation puts the mass density at 10340 kg/m³.

Here is crystalline Pm2Th3Ni2 at its relaxed geometry from Alexandria. Energies are from GGA-PBE.

a b c (Å): 3.7589 6.2304 9.0291
angles (deg): 69.71 77.99 72.44
Closest atoms and distances in Å follow each position.
Sites, in units of the cell vectors:
Pm  0.1662  0.4714  0.1961  2 Ni 3.04
Pm  0.8338  0.5286  0.8039  2 Ni 3.04
Th  0.5000  0.0000  0.0000  4 Ni 2.76
Th  0.3802  0.8055  0.4341  2 Ni 2.81
Th  0.6198  0.1945  0.5659  2 Ni 2.81
Ni  0.1375  0.9364  0.7886  4 Th 2.76-2.81, 2 Pm 3.04
Ni  0.8625  0.0636  0.2114  4 Th 2.76-2.81, 2 Pm 3.04

Results
As for the symmetry: No. 12. The calculation puts the mass density at 9756 kg/m³. The formation energy is -0.234 eV/atom.

Here is crystalline MnHCl2 at its relaxed geometry from Alexandria. Energies are from GGA-PBE.

a b c (Å): 4.9586 4.9586 5.8429
angles (deg): 64.89 64.89 90.00
Closest atoms and distances in Å follow each position.
Sites, in units of the cell vectors:
H  0.5000  0.5000  0.0000  4 Cl 2.03
H  0.2500  0.7500  0.5000  4 Cl 2.03
Mn  0.0000  0.0000  0.0000  4 Cl 2.19
Mn  0.7500  0.2500  0.5000  4 Cl 2.19
Cl  0.5988  0.1250  0.2500  2 H 2.03, 2 Mn 2.19
Cl  0.1512  0.6250  0.2500  2 H 2.03, 2 Mn 2.19
Cl  0.3750  0.4012  0.7500  2 H 2.03, 2 Mn 2.19
Cl  0.8750  0.8488  0.7500  2 H 2.03, 2 Mn 2.19

Results
As for the symmetry: No. 122. The calculation puts the mass density at 3666 kg/m³. As for the raw total energy: -3.706 eV per atom.

Here is crystalline KAg8 at its relaxed geometry from Alexandria. Energies are from GGA-PBE.

a b c (Å): 6.8536 6.8536 6.8536
angles (deg): 95.47 95.47 144.04
Closest atoms and distances in Å follow each position.
Sites, in units of the cell vectors:
K  0.0000  0.0000  0.0000  12 Ag 3.15-3.16
Ag  0.6795  0.3205  0.0000  8 Ag 2.80-3.08
Ag  0.3205  0.6795  0.0000  8 Ag 2.80-3.08
Ag  0.0000  0.6575  0.6575  11 Ag 2.90-3.08, 1 K 3.16
Ag  0.3205  0.3205  0.6410  8 Ag 2.80-3.08
Ag  0.6575  0.0000  0.6575  11 Ag 2.90-3.08, 1 K 3.16
Ag  0.6795  0.6795  0.3590  8 Ag 2.80-3.08
Ag  0.0000  0.3425  0.3425  11 Ag 2.90-3.08, 1 K 3.16
Ag  0.3425  0.0000  0.3425  11 Ag 2.90-3.08, 1 K 3.16

Results
As for the symmetry: No. 139. The calculation puts the mass density at 8330 kg/m³. The formation energy is 0.137 eV/atom.

Here is crystalline BaTbIrO6 at its relaxed geometry from Alexandria. Energies are from GGA-PBE.

a b c (Å): 5.6393 5.6394 5.6416
angles (deg): 90.01 90.00 59.99
Closest atoms and distances in Å follow each position.
Sites, in units of the cell vectors:
Ba  0.0000  0.0000  0.0000  6 O 2.72
Tb  0.6666  0.6667  0.5000  6 O 2.27
Ir  0.3333  0.3333  0.5000  6 O 1.93
O  0.0444  0.3512  0.3038  1 Ir 1.93
O  0.3512  0.0445  0.6962  1 Ir 1.93
O  0.6042  0.3513  0.6962  1 Ir 1.93
O  0.0444  0.6044  0.6961  1 Ir 1.93
O  0.3513  0.6043  0.3038  1 Ir 1.93
O  0.6043  0.0444  0.3039  1 Ir 1.93

Results
As for the symmetry: No. 149. The formation energy without anion corrections is -1.885 eV per atom. The calculation puts the mass density at 6247 kg/m³.

Here is crystalline HfMg5Ir6 at its relaxed geometry from Alexandria. Energies are from GGA-PBE.

a b c (Å): 4.4354 6.3405 6.9986
angles (deg): 90.00 108.63 90.00
Closest atoms and distances in Å follow each position.
Sites, in units of the cell vectors:
Mg  0.6667  0.5000  0.3337  8 Ir 2.71-2.72
Mg  0.3309  0.0000  0.6619  8 Ir 2.70-2.76
Mg  0.0000  0.5000  0.0000  8 Ir 2.72
Mg  0.6691  0.0000  0.3381  8 Ir 2.70-2.76
Mg  0.3333  0.5000  0.6663  8 Ir 2.71-2.72
Ir  0.8334  0.7490  0.6667  7 Mg 2.70-2.73, 1 Hf 2.72
Ir  0.8334  0.2510  0.6667  7 Mg 2.70-2.73, 1 Hf 2.72
Ir  0.5000  0.2526  0.0000  6 Mg 2.71-2.76, 2 Hf 2.74
Ir  0.5000  0.7474  0.0000  6 Mg 2.71-2.76, 2 Hf 2.74
Ir  0.1666  0.7490  0.3333  7 Mg 2.70-2.73, 1 Hf 2.72
Ir  0.1666  0.2510  0.3333  7 Mg 2.70-2.73, 1 Hf 2.72
Hf  0.0000  0.0000  0.0000  8 Ir 2.72-2.74

Results
As for the symmetry: No. 10. The calculation puts the mass density at 12939 kg/m³. The formation energy is -0.498 eV/atom.

Here is crystalline Li2BrN at its relaxed geometry from Alexandria. Energies are from GGA-PBE.

a b c (Å): 7.6463 7.6463 5.9075
angles (deg): 49.67 49.67 90.00
Closest atoms and distances in Å follow each position.
Sites, in units of the cell vectors:
Li  0.3751  0.1250  0.2500  2 N 2.00
Li  0.3749  0.6250  0.2500  2 N 2.00
Li  0.3750  0.6249  0.7500  2 N 2.00
Li  0.8750  0.6251  0.7500  2 N 2.00
Br  0.0000  0.0000  0.0000  2 N 2.38, 4 Li 2.62
Br  0.7500  0.2500  0.5000  2 N 2.38, 4 Li 2.62
N  0.5000  0.5000  0.0000  4 Li 2.00
N  0.2500  0.7500  0.5000  4 Li 2.00

Results
As for the symmetry: No. 141. The relative energy among the computed polymorphs is 0 meV per atom. The formation energy without anion corrections is -0.136 eV per atom. The calculation puts the mass density at 2572 kg/m³.

Here is crystalline BaPPd3 at its relaxed geometry from Alexandria. Energies are from GGA-PBE.

a b c (Å): 6.0719 6.6951 6.6951
angles (deg): 66.20 63.03 63.03
Closest atoms and distances in Å follow each position.
Sites, in units of the cell vectors:
Ba  0.7500  0.3099  0.1901  11 Pd 3.19-3.56
Ba  0.2500  0.6901  0.8099  11 Pd 3.19-3.56
P  0.0000  0.5000  0.5000  6 Pd 2.41-2.42
P  0.5000  0.0000  0.0000  6 Pd 2.41-2.42
Pd  0.7895  0.2105  0.7105  2 P 2.41
Pd  0.2895  0.2105  0.7105  2 P 2.41
Pd  0.7105  0.7895  0.2895  2 P 2.41
Pd  0.2105  0.7895  0.2895  2 P 2.41
Pd  0.7500  0.8224  0.6776  2 P 2.42
Pd  0.2500  0.1776  0.3224  2 P 2.42

Results
As for the symmetry: No. 74. The relative energy among the computed polymorphs is 0 meV per atom. The calculation puts the mass density at 7733 kg/m³. The formation energy is -0.715 eV/atom.

Here is crystalline AuSeCl at its relaxed geometry from Alexandria. Energies are from GGA-PBE.

a b c (Å): 7.8830 6.8404 4.6459
angles (deg): 84.37 59.72 35.91
Closest atoms and distances in Å follow each position.
Sites, in units of the cell vectors:
Au  0.0002  0.0002  0.9998  2 Se 2.45, 2 Cl 2.45
Cl  0.3715  0.3715  0.6285  2 Au 2.45
Se  0.6284  0.6284  0.3716  2 Au 2.45

Results
As for the symmetry: No. 42. The formation energy without anion corrections is -0.064 eV per atom. The calculation puts the mass density at 5156 kg/m³.

Here is crystalline Li3VBi at its relaxed geometry from Alexandria. Energies are from GGA-PBE.

a b c (Å): 5.1547 5.1547 5.1547
angles (deg): 90.00 90.00 90.00
Closest atoms and distances in Å follow each position.
Sites, in units of the cell vectors:
V  0.5000  0.5000  0.5000  12 Li 3.64
Bi  0.0000  0.0000  0.0000  6 Li 2.58
Li  0.0000  0.5000  0.0000  2 Bi 2.58
Li  0.0000  0.0000  0.5000  2 Bi 2.58
Li  0.5000  0.0000  0.0000  2 Bi 2.58

Results
As for the symmetry: No. 221. The relative energy among the computed polymorphs is 0 meV per atom. The calculation puts the mass density at 3404 kg/m³. The formation energy is 0.575 eV/atom.

What is the mass density in the third record?
10340 kg/m³

The lowest mass density belongs to which entry?
Li2BrN

Among the records above, which one has the lowest mass density?
Li2BrN